No. 1
Below is a PBEsol-optimized structure of MnCrAs2, with properties calculated at the SCAN level.

Computed properties:
Its formation energy is 1.35 eV/f.u. As for the crystal system: cubic. The relative energy among the computed polymorphs is 426 meV per atom.

Lattice parameters (Å, degrees): 6.0325 6.0325 6.0325 90.00 90.00 90.00
With the nearest neighbours (Å) after each atom.
Space group F-43m (No. 216)
Symmetry-distinct sites (fractional):
Mn  0.0000  0.0000  0.0000 x4  4 As 2.61, 4 Cr 2.61
Cr  0.2500  0.2500  0.7500 x4  4 As 2.61, 4 Mn 2.61
As  0.0000  0.0000  0.5000 x4  4 Cr 2.61, 4 As 2.61
As  0.2500  0.2500  0.2500 x4  4 As 2.61, 4 Mn 2.61

---

No. 2
Below is a PBEsol-optimized structure of K2ZrRe, with properties calculated at the SCAN level.

Computed properties:
Its formation energy is 4.52 eV/f.u. As for the crystal system: orthorhombic. The relative energy among the computed polymorphs is 0 meV per atom.

Lattice parameters (Å, degrees): 3.1826 4.6421 6.3418 90.00 90.00 90.00
With the nearest neighbours (Å) after each atom.
Space group Pmmm (No. 47)
Symmetry-distinct sites (fractional):
K  0.0000  0.0000  0.0000 x1  4 K 2.81
K  0.5000  0.5000  0.0000 x1  4 K 2.81
Zr  0.0000  0.5000  0.5000 x1  4 Re 2.81
Re  0.5000  0.0000  0.5000 x1  4 Zr 2.81

---

No. 3
Below is a PBEsol-optimized structure of TaNi2Br, with properties calculated at the SCAN level.

Computed properties:
As for the crystal system: orthorhombic. The calculation puts the formation energy without anion corrections at 653 meV per atom.

Lattice parameters (Å, degrees): 2.9710 4.2606 4.4456 90.00 90.00 90.00
With the nearest neighbours (Å) after each atom.
Space group Pmmm (No. 47)
Symmetry-distinct sites (fractional):
Ta  0.0000  0.0000  0.0000 x1  4 Ni 2.60, 4 Br 2.67
Ni  0.0000  0.5000  0.5000 x1  4 Br 2.60, 4 Ni 2.67
Ni  0.5000  0.5000  0.0000 x1  4 Ta 2.60, 4 Ni 2.67
Br  0.5000  0.0000  0.5000 x1  4 Ni 2.60, 4 Ta 2.67

---

No. 4
Below is a PBEsol-optimized structure of ZrTcClF2, with properties calculated at the SCAN level.

Computed properties:
As for the crystal system: tetragonal. The calculation puts the formation energy without anion corrections at -1295 meV per atom.

Lattice parameters (Å, degrees): 3.9451 3.9451 5.0962 90.00 90.00 90.00
With the nearest neighbours (Å) after each atom.
Space group P4/mmm (No. 123)
Symmetry-distinct sites (fractional):
Zr  0.0000  0.0000  0.0000 x1  2 Tc 2.55, 4 Cl 2.79
Tc  0.0000  0.0000  0.5000 x1  4 F 1.97
Cl  0.5000  0.5000  0.0000 x1  4 Zr 2.79
F  0.0000  0.5000  0.5000 x2  2 Tc 1.97

---

No. 5
Below is a PBEsol-optimized structure of KGdCO3F2, with properties calculated at the SCAN level.

Computed properties:
As for the crystal system: orthorhombic. The calculation puts the formation energy without anion corrections at -2917 meV per atom.

Lattice parameters (Å, degrees): 6.9627 11.0719 21.8392 90.00 90.00 90.00
With the nearest neighbours (Å) after each atom.
Space group Fddd (No. 70, origin choice 2)
Symmetry-distinct sites (fractional):
K  0.1250  0.1250  0.0428 x16  2 F 2.52, 2 O 2.79
Gd  0.1250  0.3073  0.6250 x16  4 F 2.26-2.33, 4 O 2.37-2.43
C  0.1250  0.1250  0.5029 x16  3 O 1.29-1.31
O  0.0368  0.3734  0.7242 x32  1 C 1.29
O  0.1250  0.1250  0.5629 x16  1 C 1.31
F  0.0602  0.0196  0.8907 x32  2 Gd 2.26-2.33, 1 F 2.50, 1 K 2.52

---

No. 6
Below is a PBEsol-optimized structure of NiBrCl2, with properties calculated at the SCAN level.

Computed properties:
As for the crystal system: orthorhombic. The relative energy among the computed polymorphs is 774 meV per atom. The calculation puts the formation energy without anion corrections at 170 meV per atom.

Lattice parameters (Å, degrees): 2.7802 3.1672 9.1942 90.00 90.00 90.00
With the nearest neighbours (Å) after each atom.
Space group Pmm2 (No. 25)
Symmetry-distinct sites (fractional):
Ni  0.0000  0.0000  0.0000 x1  4 Cl 2.37
Br  0.5000  0.5000  0.2351 x1  2 Br 2.78, 4 Ni 3.02
Cl  0.0000  0.0000  0.5705 x1  2 Cl 2.78
Cl  0.5000  0.5000  0.8829 x1  4 Ni 2.37

---

No. 7
Below is a PBEsol-optimized structure of AuSN2F, with properties calculated at the SCAN level.

Computed properties:
As for the crystal system: tetragonal. The relative energy among the computed polymorphs is 472 meV per atom. The calculation puts the formation energy without anion corrections at 2066 meV per atom.

Lattice parameters (Å, degrees): 3.5819 3.5819 6.2169 90.00 90.00 90.00
With the nearest neighbours (Å) after each atom.
Space group P4/mmm (No. 123)
Symmetry-distinct sites (fractional):
Au  0.0000  0.0000  0.0000 x1  4 S 2.53
S  0.5000  0.5000  0.0000 x1  4 Au 2.53
N  0.0000  0.5000  0.5000 x2  2 F 1.79
F  0.5000  0.5000  0.5000 x1  4 N 1.79

---

No. 8
Below is a PBEsol-optimized structure of Be3GaBi, with properties calculated at the SCAN level.

Computed properties:
Its formation energy is 4.01 eV/f.u. As for the crystal system: cubic.

Lattice parameters (Å, degrees): 4.3544 4.3544 4.3544 90.00 90.00 90.00
With the nearest neighbours (Å) after each atom.
Space group Pm-3m (No. 221)
Symmetry-distinct sites (fractional):
Be  0.0000  0.0000  0.5000 x3  2 Ga 2.18
Ga  0.0000  0.0000  0.0000 x1  6 Be 2.18
Bi  0.5000  0.5000  0.5000 x1  12 Be 3.08

---

These records have volume values of 13.721, 23.423, 14.068, 15.863, 13.153, 20.240, 15.952, 16.512 Å³ per atom, in the order they appear.